Entry 1:
First-principles (PBE) data for a relaxed YSi2Sb crystal, as listed in Alexandria.

The structure in extended XYZ format:
```
4
Lattice="5.5878 -0.0106 0.0125 4.3993 3.4453 0.0125 2.6980 0.9279 4.7576" Properties=species:S:1:pos:R:3 pbc="T T T"
Sb 3.1713 1.0907 1.1956
Si 12.3415 4.2445 4.3291
Si 6.6863 2.2995 2.8446
Y 9.5139 3.2720 3.5869
```

Values from the calculation:
N(E_F), states/eV/atom: 0.429
Formation energy without anion corrections, eV/f.u.: -0.87

***

Entry 2:
First-principles (PBE) data for a relaxed TaFe4 crystal, as listed in Alexandria.

The structure in extended XYZ format:
```
5
Lattice="-0.7754 -2.6772 -1.1581 4.0524 -2.3909 -1.1191 0.4630 -0.5038 4.7878" Properties=species:S:1:pos:R:3 pbc="T T T"
Fe 2.7769 -4.2730 0.1526
Fe 0.9631 -1.2989 2.3579
Fe 2.2775 -3.4172 2.4418
Fe 1.4625 -2.1547 0.0688
Ta 0.0000 0.0000 0.0000
```

Values from the calculation:
N(E_F), states/eV/atom: 0.477
Energy relative to the elements, meV/atom: -62
Energy relative to the lowest polymorph listed for this composition, kJ per mole of atoms: 0.00

***

Entry 3:
First-principles (PBE) data for a relaxed TaOsNO2 crystal, as listed in Alexandria.

The structure in extended XYZ format:
```
5
Lattice="-0.9144 -3.5334 -1.3769 3.6029 -1.2514 0.8186 -1.2874 -1.1750 3.8702" Properties=species:S:1:pos:R:3 pbc="T T T"
N -0.6437 -0.5875 1.9351
Os 0.7006 -2.9799 1.6559
O 1.8015 -0.6257 0.4093
O -0.4572 -1.7667 -0.6885
Ta 0.0000 0.0000 0.0000
```

Values from the calculation:
N(E_F), states/eV/atom: 0.725
Formation energy without anion corrections, eV/f.u.: -0.78

***

Entry 4:
First-principles (PBE) data for a relaxed NiRuC2 crystal, as listed in Alexandria.

The structure in extended XYZ format:
```
4
Lattice="0.1600 -3.6427 0.6204 -0.7937 -1.3413 3.3542 -3.1137 -1.9237 0.5331" Properties=species:S:1:pos:R:3 pbc="T T T"
Ru -1.8737 -3.4539 2.2539
C -0.9369 -1.7269 1.1270
C -2.8106 -5.1808 3.3809
Ni 0.0000 0.0000 0.0000
```

Values from the calculation:
N(E_F), states/eV/atom: 1.184
Energy relative to the elements, meV/atom: 1384
Energy relative to the lowest polymorph listed for this composition, kJ per mole of atoms: 70.40

***

Entry 5:
First-principles (PBE) data for a relaxed LaTl2Sn2 crystal, as listed in Alexandria.

The structure in extended XYZ format:
```
10
Lattice="-7.6771 -3.7704 1.4504 2.6089 -7.0054 -4.4018 1.3917 -1.5608 3.3088" Properties=species:S:1:pos:R:3 pbc="T T T"
Tl -0.5734 -7.4953 -3.2944
Tl -5.0408 -7.6920 -1.5082
Tl -4.4948 -3.2805 0.3430
Tl -0.0274 -3.0838 -1.4431
Sn 1.1553 -6.0796 -1.0385
Sn -2.2486 -9.1317 -1.0465
Sn -4.8319 -6.2570 1.3960
Sn -1.4279 -3.2049 1.4040
La 0.0000 0.0000 0.0000
La -2.5341 -5.3879 -1.4757
```

Values from the calculation:
N(E_F), states/eV/atom: 0.354
Energy relative to the elements, meV/atom: -178
Energy relative to the lowest polymorph listed for this composition, kJ per mole of atoms: 2.02

***

Entry 6:
First-principles (PBE) data for a relaxed La2Y6Ho3Tm crystal, as listed in Alexandria.

The structure in extended XYZ format:
```
12
Lattice="6.2084 -0.0004 0.0036 -3.1030 5.3773 0.0036 -1.0393 -1.7995 11.6778" Properties=species:S:1:pos:R:3 pbc="T T T"
La 0.0042 3.5828 0.0036
La 3.1012 1.7941 0.0036
Y 3.0963 1.7948 8.7175
Y 2.0745 3.5919 2.9758
Y -1.0302 1.7827 2.9675
Y 0.0072 3.5788 8.7175
Y -0.0084 -0.0145 8.7092
Y 2.0589 -0.0014 2.9675
Ho -2.0731 3.5826 5.8425
Ho 4.1392 -0.0052 5.8425
Ho 1.0330 1.7887 5.8425
Tm 0.0000 0.0000 0.0000
```

Values from the calculation:
N(E_F), states/eV/atom: 1.454
Energy relative to the elements, meV/atom: 24

***

Entry 7:
First-principles (PBE) data for a relaxed PmZn5Rh6 crystal, as listed in Alexandria.

The structure in extended XYZ format:
```
12
Lattice="-3.5264 2.4936 0.7242 -1.1535 0.1597 -6.1667 -1.9419 -6.6355 0.1913" Properties=species:S:1:pos:R:3 pbc="T T T"
Zn -3.5612 -0.4520 -2.5389
Zn -2.4570 -3.5726 0.3670
Zn -0.5767 0.0799 -3.0834
Zn -3.0113 -0.5692 0.5485
Zn -3.0606 -3.5302 -2.7123
Rh -5.0297 -2.1459 -3.8325
Rh -4.4791 -2.2222 -0.8887
Rh -2.0768 1.2902 -1.3147
Rh -2.6030 1.3631 -4.1278
Rh -2.1426 -1.7600 -4.3625
Rh -1.5920 -1.8363 -1.4187
Pm 0.0000 0.0000 0.0000
```

Values from the calculation:
N(E_F), states/eV/atom: 0.605
Energy relative to the elements, meV/atom: -420

***

Entry 8:
First-principles (PBE) data for a relaxed RbAgO2 crystal, as listed in Alexandria.

The structure in extended XYZ format:
```
8
Lattice="5.8591 0.0003 0.0002 -1.6142 5.6323 0.0002 1.1350 1.5061 5.6218" Properties=species:S:1:pos:R:3 pbc="T T T"
Rb 3.4992 2.3692 1.4056
Rb 1.8807 4.7696 4.2165
Ag 0.0000 0.0000 0.0000
Ag 0.5675 0.7531 2.8109
O 3.4247 5.2568 1.8311
O 4.6771 5.4937 4.6420
O 1.9553 1.8820 3.7911
O 0.7028 1.6451 0.9802
```

Values from the calculation:
Formation energy without anion corrections, eV/f.u.: -2.60

***

Entry 9:
First-principles (PBE) data for a relaxed NaTa2W crystal, as listed in Alexandria.

The structure in extended XYZ format:
```
4
Lattice="-1.1600 -3.8083 2.4330 -4.4936 -1.0756 0.6475 -1.8541 -3.6855 -2.1791" Properties=species:S:1:pos:R:3 pbc="T T T"
Na 0.0000 0.0000 0.0000
W -3.7539 -4.2847 0.4507
Ta -1.8769 -2.1423 0.2254
Ta -5.6308 -6.4270 0.6761
```

Values from the calculation:
N(E_F), states/eV/atom: 1.106
Energy relative to the elements, meV/atom: 711
Energy relative to the lowest polymorph listed for this composition, kJ per mole of atoms: 0.00

***

Entry 10:
First-principles (PBE) data for a relaxed Re2NiAu crystal, as listed in Alexandria.

The structure in extended XYZ format:
```
4
Lattice="-0.0375 -2.3978 -1.4154 2.7642 0.1382 -0.3072 0.9167 -3.8582 6.5118" Properties=species:S:1:pos:R:3 pbc="T T T"
Au 0.4699 -1.9779 3.3382
Ni 2.0640 -4.0787 4.1157
Re 0.9095 -3.8279 6.4606
Re 1.5750 -2.0207 0.6423
```

Values from the calculation:
N(E_F), states/eV/atom: 0.827
Energy relative to the elements, meV/atom: 200
Energy relative to the lowest polymorph listed for this composition, kJ per mole of atoms: 0.00

***

Entry 11:
First-principles (PBE) data for a relaxed Ca2CdGa crystal, as listed in Alexandria.

The structure in extended XYZ format:
```
4
Lattice="-1.8681 -2.6574 -1.7580 1.0756 -3.5208 0.2991 -6.8088 -3.3078 8.3551" Properties=species:S:1:pos:R:3 pbc="T T T"
Ca -5.0047 -2.9636 5.9179
Ca -2.5966 -6.5224 0.9782
Ga 0.0000 0.0000 0.0000
Cd -3.8007 -4.7430 3.4481
```

Values from the calculation:
N(E_F), states/eV/atom: 0.854
Energy relative to the elements, meV/atom: 89

***

Computed calculated total energy (eV per atom) in order:
-5.576; -9.203; -8.420; -6.992; -3.711; -5.547; -5.023; -4.084; -8.784; -8.289; -1.897
Computed total moment (μB per cell) in order:
0.00; 7.98; 3.74; 0.82; 0.00; 0.00; 0.00; 0.00; 0.00; 0.00; 0.00